Record 1
The following is a DFT calculation (PBE-GGA) of an optimized crystal structure of KBa3Ni.

The structure in extended XYZ format:
```
5
Lattice="6.6916 0.0000 0.0000 0.0000 6.6916 0.0000 0.0000 0.0000 6.6916" Properties=species:S:1:pos:R:3 pbc="T T T"
K 0.0000 0.0000 0.0000
Ba 0.0000 0.0000 3.3458
Ba 0.0000 3.3458 0.0000
Ba 3.3458 0.0000 0.0000
Ni 3.3458 3.3458 3.3458
```

Calculated values
- ΔH_f (0 K) (eV/atom) = 1.203



Record 2
The following is a DFT calculation (PBE-GGA) of an optimized crystal structure of NbB2TeF.

The structure in extended XYZ format:
```
5
Lattice="4.0979 0.0000 0.0000 0.0000 4.0979 0.0000 0.0000 0.0000 4.3455" Properties=species:S:1:pos:R:3 pbc="T T T"
Nb 0.0000 0.0000 0.0000
B 0.0000 2.0490 2.1727
B 2.0490 0.0000 2.1727
Te 2.0490 2.0490 0.0000
F 2.0490 2.0490 2.1727
```

Calculated values
- ΔE_f (raw) (eV per atom) = 1.2707



Record 3
The following is a DFT calculation (PBE-GGA) of an optimized crystal structure of Hg3Au2.

The structure in extended XYZ format:
```
10
Lattice="3.4441 1.9884 6.3960 -3.4441 1.9884 6.3960 0.0000 -3.9769 6.3960" Properties=species:S:1:pos:R:3 pbc="T T T"
Hg -2.1576 0.2398 7.9950
Hg -1.2865 -1.7486 11.1930
Hg 0.8711 -1.9884 7.9950
Hg -0.8711 1.9884 11.1930
Hg 1.2865 1.7486 7.9950
Hg 2.1576 -0.2398 11.1930
Au 0.0000 0.0000 3.3834
Au 0.0000 0.0000 6.2106
Au 0.0000 0.0000 12.9775
Au 0.0000 0.0000 15.8047
```

Calculated values
- ΔH_f (0 K) (eV/atom) = 0.069



no.,energy relative to the lowest polymorph listed for this composition (meV per atom),spin magnetization (μB/f.u.)
1,1158.6,2.4
2,855.5,0.0
3,0.0,0.0